The following is a PBE calculation of crystalline AcDy12Co6 at its relaxed geometry, from the Alexandria database.

Output
- DOS(E_F): 14.83 states/eV/cell
- Space-group type: Im-3 (204)
- DFT formation energy: -2.392 eV per formula unit
- M_tot: 0.00 μB per cell
- Crystal system: cubic

a b c (Å): 8.5238 8.5238 8.5238
angles (deg): 109.47 109.47 109.47
With the nearest neighbours (Å) after each atom.
Fractional positions:
Ac1 0.0000 0.0000 0.0000  12 Dy 3.62
Dy1 0.1177 0.8052 0.3125  3 Co 2.65-2.88
Dy2 0.1948 0.3125 0.5073  3 Co 2.65-2.88
Dy3 0.1948 0.6875 0.8823  3 Co 2.65-2.88
Dy4 0.3125 0.1177 0.8052  3 Co 2.65-2.88
Dy5 0.3125 0.5073 0.1948  3 Co 2.65-2.88
Dy6 0.4927 0.8052 0.6875  3 Co 2.65-2.88
Dy7 0.5073 0.1948 0.3125  3 Co 2.65-2.88
Dy8 0.6875 0.4927 0.8052  3 Co 2.65-2.88
Dy9 0.6875 0.8823 0.1948  3 Co 2.65-2.88
Dy10 0.8052 0.3125 0.1177  3 Co 2.65-2.88
Dy11 0.8052 0.6875 0.4927  3 Co 2.65-2.88
Dy12 0.8823 0.1948 0.6875  3 Co 2.65-2.88
Co1 0.1125 0.6125 0.5000  1 Co 2.21
Co2 0.3875 0.5000 0.8875  1 Co 2.21
Co3 0.5000 0.1125 0.6125  1 Co 2.21
Co4 0.5000 0.8875 0.3875  1 Co 2.21
Co5 0.6125 0.5000 0.1125  1 Co 2.21
Co6 0.8875 0.3875 0.5000  1 Co 2.21